A:
The following is a GGA-PBE calculation of a relaxed structure of TbNdGd2, from Alexandria.

Calculated values
The crystal system is tetragonal. For the size of the total moment, the calculation gives 14.58 Bohr magnetons per cell. Its volume is 132 Å³ per cell.

```
data_TbNdGd2
_chemical_formula_sum 'Tb1 Nd1 Gd2'
_cell_length_a 5.0857
_cell_length_b 5.0857
_cell_length_c 5.0963
_cell_angle_alpha 90.00
_cell_angle_beta 90.00
_cell_angle_gamma 90.00
_space_group_name_H-M_alt 'P 4/m m m'
_space_group_IT_number 123
_space_group_name_Hall '-P 4 2'
loop_
_atom_site_label
_atom_site_fract_x
_atom_site_fract_y
_atom_site_fract_z
_atom_site_occupancy
Tb1 0.0000 0.0000 0.0000 1
Nd1 0.5000 0.5000 0.0000 1
Gd1 0.0000 0.5000 0.5000 1
```

***

B:
The following is a GGA-PBE calculation of a relaxed structure of TbNdGd2, from Alexandria.

Calculated values
The crystal system is cubic. For the size of the total moment, the calculation gives 65.20 Bohr magnetons per cell. Its volume is 530 Å³ per cell.

```
data_TbNdGd2
_chemical_formula_sum 'Tb4 Nd4 Gd8'
_cell_length_a 8.0941
_cell_length_b 8.0941
_cell_length_c 8.0941
_cell_angle_alpha 90.00
_cell_angle_beta 90.00
_cell_angle_gamma 90.00
_space_group_name_H-M_alt 'F m -3 m'
_space_group_IT_number 225
_space_group_name_Hall '-F 4 2 3'
loop_
_atom_site_label
_atom_site_fract_x
_atom_site_fract_y
_atom_site_fract_z
_atom_site_occupancy
Tb1 0.0000 0.0000 0.0000 1
Nd1 0.0000 0.0000 0.5000 1
Gd1 0.2500 0.2500 0.2500 1
```

***

Short version: A, B, most stable first.

***

A:
The following is a GGA-PBE calculation of a relaxed structure of NdGd2Tc, from Alexandria.

Calculated values
The crystal system is tetragonal. For the size of the total moment, the calculation gives 14.11 Bohr magnetons per cell. Its volume is 111 Å³ per cell.

```
data_NdGd2Tc
_chemical_formula_sum 'Nd1 Gd2 Tc1'
_cell_length_a 3.4674
_cell_length_b 3.4674
_cell_length_c 9.1937
_cell_angle_alpha 90.00
_cell_angle_beta 90.00
_cell_angle_gamma 90.00
_space_group_name_H-M_alt 'P 4/m m m'
_space_group_IT_number 123
_space_group_name_Hall '-P 4 2'
loop_
_atom_site_label
_atom_site_fract_x
_atom_site_fract_y
_atom_site_fract_z
_atom_site_occupancy
Nd1 0.0000 0.0000 0.0000 1
Gd1 0.5000 0.5000 0.3176 1
Tc1 0.0000 0.0000 0.5000 1
```

***

B:
The following is a GGA-PBE calculation of a relaxed structure of NdGd2Tc, from Alexandria.

Calculated values
The crystal system is trigonal. For the size of the total moment, the calculation gives 43.06 Bohr magnetons per cell. Its volume is 316 Å³ per cell.

```
data_NdGd2Tc
_chemical_formula_sum 'Nd3 Gd6 Tc3'
_cell_length_a 4.8347
_cell_length_b 4.8347
_cell_length_c 15.5959
_cell_angle_alpha 90.00
_cell_angle_beta 90.00
_cell_angle_gamma 120.00
_space_group_name_H-M_alt 'R -3 m'
_space_group_IT_number 166
_space_group_name_Hall '-R 3 2"'
loop_
_atom_site_label
_atom_site_fract_x
_atom_site_fract_y
_atom_site_fract_z
_atom_site_occupancy
Nd1 0.0000 0.0000 0.0000 1
Gd1 0.0000 0.0000 0.2280 1
Tc1 0.0000 0.0000 0.5000 1
```

***

Short version: A, B, most stable first.

***

A:
The following is a GGA-PBE calculation of a relaxed structure of Nd2GdTc, from Alexandria.

Calculated values
The crystal system is trigonal. For the size of the total moment, the calculation gives 22.09 Bohr magnetons per cell. Its volume is 319 Å³ per cell.

```
data_Nd2GdTc
_chemical_formula_sum 'Nd6 Gd3 Tc3'
_cell_length_a 5.5961
_cell_length_b 5.5961
_cell_length_c 11.7510
_cell_angle_alpha 90.00
_cell_angle_beta 90.00
_cell_angle_gamma 120.00
_space_group_name_H-M_alt 'R -3 m'
_space_group_IT_number 166
_space_group_name_Hall '-R 3 2"'
loop_
_atom_site_label
_atom_site_fract_x
_atom_site_fract_y
_atom_site_fract_z
_atom_site_occupancy
Nd1 0.0000 0.0000 0.2347 1
Gd1 0.0000 0.0000 0.5000 1
Tc1 0.0000 0.0000 0.0000 1
```

***

B:
The following is a GGA-PBE calculation of a relaxed structure of Nd2GdTc, from Alexandria.

Calculated values
The crystal system is tetragonal. For the size of the total moment, the calculation gives 8.18 Bohr magnetons per cell. Its volume is 113 Å³ per cell.

```
data_Nd2GdTc
_chemical_formula_sum 'Nd2 Gd1 Tc1'
_cell_length_a 3.5738
_cell_length_b 3.5738
_cell_length_c 8.8428
_cell_angle_alpha 90.00
_cell_angle_beta 90.00
_cell_angle_gamma 90.00
_space_group_name_H-M_alt 'P 4/m m m'
_space_group_IT_number 123
_space_group_name_Hall '-P 4 2'
loop_
_atom_site_label
_atom_site_fract_x
_atom_site_fract_y
_atom_site_fract_z
_atom_site_occupancy
Nd1 0.0000 0.0000 0.1924 1
Gd1 0.5000 0.5000 0.5000 1
Tc1 0.5000 0.5000 0.0000 1
```

***

Short version: B, A, most stable first.

***

A:
The following is a GGA-PBE calculation of a relaxed structure of NdGdTe2, from Alexandria.

Calculated values
The crystal system is cubic. For the size of the total moment, the calculation gives 32.67 Bohr magnetons per cell. Its volume is 457 Å³ per cell.

```
data_NdGdTe2
_chemical_formula_sum 'Nd4 Gd4 Te8'
_cell_length_a 7.7047
_cell_length_b 7.7047
_cell_length_c 7.7047
_cell_angle_alpha 90.00
_cell_angle_beta 90.00
_cell_angle_gamma 90.00
_space_group_name_H-M_alt 'F m -3 m'
_space_group_IT_number 225
_space_group_name_Hall '-F 4 2 3'
loop_
_atom_site_label
_atom_site_fract_x
_atom_site_fract_y
_atom_site_fract_z
_atom_site_occupancy
Nd1 0.0000 0.0000 0.0000 1
Gd1 0.0000 0.0000 0.5000 1
Te1 0.2500 0.2500 0.2500 1
```

***

B:
The following is a GGA-PBE calculation of a relaxed structure of NdGdTe2, from Alexandria.

Calculated values
The crystal system is trigonal. For the size of the total moment, the calculation gives 20.51 Bohr magnetons per cell. Its volume is 375 Å³ per cell.

```
data_NdGdTe2
_chemical_formula_sum 'Nd3 Gd3 Te6'
_cell_length_a 4.4527
_cell_length_b 4.4527
_cell_length_c 21.8493
_cell_angle_alpha 90.00
_cell_angle_beta 90.00
_cell_angle_gamma 120.00
_space_group_name_H-M_alt 'R -3 m'
_space_group_IT_number 166
_space_group_name_Hall '-R 3 2"'
loop_
_atom_site_label
_atom_site_fract_x
_atom_site_fract_y
_atom_site_fract_z
_atom_site_occupancy
Nd1 0.0000 0.0000 0.0000 1
Gd1 0.0000 0.0000 0.5000 1
Te1 0.0000 0.0000 0.2473 1
```

***

Short version: B, A, most stable first.

***

A:
The following is a GGA-PBE calculation of a relaxed structure of NdGd2Th, from Alexandria.

Calculated values
The crystal system is tetragonal. For the size of the total moment, the calculation gives 14.42 Bohr magnetons per cell. Its volume is 132 Å³ per cell.

```
data_NdGd2Th
_chemical_formula_sum 'Nd1 Gd2 Th1'
_cell_length_a 5.0851
_cell_length_b 5.0851
_cell_length_c 5.0942
_cell_angle_alpha 90.00
_cell_angle_beta 90.00
_cell_angle_gamma 90.00
_space_group_name_H-M_alt 'P 4/m m m'
_space_group_IT_number 123
_space_group_name_Hall '-P 4 2'
loop_
_atom_site_label
_atom_site_fract_x
_atom_site_fract_y
_atom_site_fract_z
_atom_site_occupancy
Nd1 0.0000 0.0000 0.0000 1
Gd1 0.0000 0.5000 0.5000 1
Th1 0.5000 0.5000 0.0000 1
```

***

B:
The following is a GGA-PBE calculation of a relaxed structure of NdGd2Th, from Alexandria.

Calculated values
The crystal system is cubic. For the size of the total moment, the calculation gives 62.36 Bohr magnetons per cell. Its volume is 534 Å³ per cell.

```
data_NdGd2Th
_chemical_formula_sum 'Nd4 Gd8 Th4'
_cell_length_a 8.1133
_cell_length_b 8.1133
_cell_length_c 8.1133
_cell_angle_alpha 90.00
_cell_angle_beta 90.00
_cell_angle_gamma 90.00
_space_group_name_H-M_alt 'F m -3 m'
_space_group_IT_number 225
_space_group_name_Hall '-F 4 2 3'
loop_
_atom_site_label
_atom_site_fract_x
_atom_site_fract_y
_atom_site_fract_z
_atom_site_occupancy
Nd1 0.0000 0.0000 0.0000 1
Gd1 0.2500 0.2500 0.2500 1
Th1 0.0000 0.0000 0.5000 1
```

***

C:
The following is a GGA-PBE calculation of a relaxed structure of NdGd2Th, from Alexandria.

Calculated values
The crystal system is tetragonal. For the size of the total moment, the calculation gives 14.24 Bohr magnetons per cell. Its volume is 132 Å³ per cell.

```
data_NdGd2Th
_chemical_formula_sum 'Nd1 Gd2 Th1'
_cell_length_a 3.5895
_cell_length_b 3.5895
_cell_length_c 10.2513
_cell_angle_alpha 90.00
_cell_angle_beta 90.00
_cell_angle_gamma 90.00
_space_group_name_H-M_alt 'P 4/m m m'
_space_group_IT_number 123
_space_group_name_Hall '-P 4 2'
loop_
_atom_site_label
_atom_site_fract_x
_atom_site_fract_y
_atom_site_fract_z
_atom_site_occupancy
Nd1 0.0000 0.0000 0.0000 1
Gd1 0.5000 0.5000 0.2611 1
Th1 0.0000 0.0000 0.5000 1
```

***

Short version: C, A, B, most stable first.

***

A:
The following is a GGA-PBE calculation of a relaxed structure of NdGd2Ti, from Alexandria.

Calculated values
The crystal system is trigonal. For the size of the total moment, the calculation gives 49.44 Bohr magnetons per cell. Its volume is 353 Å³ per cell.

```
data_NdGd2Ti
_chemical_formula_sum 'Nd3 Gd6 Ti3'
_cell_length_a 3.3793
_cell_length_b 3.3793
_cell_length_c 35.7412
_cell_angle_alpha 90.00
_cell_angle_beta 90.00
_cell_angle_gamma 120.00
_space_group_name_H-M_alt 'R -3 m'
_space_group_IT_number 166
_space_group_name_Hall '-R 3 2"'
loop_
_atom_site_label
_atom_site_fract_x
_atom_site_fract_y
_atom_site_fract_z
_atom_site_occupancy
Nd1 0.0000 0.0000 0.0000 1
Gd1 0.0000 0.0000 0.4179 1
Ti1 0.0000 0.0000 0.5000 1
```

***

B:
The following is a GGA-PBE calculation of a relaxed structure of NdGd2Ti, from Alexandria.

Calculated values
The crystal system is tetragonal. For the size of the total moment, the calculation gives 14.37 Bohr magnetons per cell. Its volume is 115 Å³ per cell.

```
data_NdGd2Ti
_chemical_formula_sum 'Nd1 Gd2 Ti1'
_cell_length_a 3.4187
_cell_length_b 3.4187
_cell_length_c 9.8323
_cell_angle_alpha 90.00
_cell_angle_beta 90.00
_cell_angle_gamma 90.00
_space_group_name_H-M_alt 'P 4/m m m'
_space_group_IT_number 123
_space_group_name_Hall '-P 4 2'
loop_
_atom_site_label
_atom_site_fract_x
_atom_site_fract_y
_atom_site_fract_z
_atom_site_occupancy
Nd1 0.0000 0.0000 0.0000 1
Gd1 0.5000 0.5000 0.2864 1
Ti1 0.0000 0.0000 0.5000 1
```

***

Short version: B, A, most stable first.